Computed, not measured: a relaxed TbSm3ErTh crystal at the PBE-GGA level of DFT.

Cell and atoms, written as extended XYZ:
```
12
Lattice="2.9768 -5.5246 0.0000 2.9768 5.5246 0.0000 0.0000 0.0000 11.9329" Properties=species:S:1:pos:R:3 pbc="T T T"
Tb 0.0000 0.0000 0.0000
Tb 0.0000 0.0000 5.9664
Sm 2.9768 3.5351 8.9497
Sm 2.9768 1.8553 0.0342
Sm 2.9768 1.8553 5.9323
Sm 2.9768 -1.8553 6.0006
Sm 2.9768 -1.8553 11.8987
Sm 2.9768 -3.5351 2.9832
Er 2.9768 3.6644 2.9832
Er 2.9768 -3.6644 8.9497
Th 2.9768 0.0171 2.9832
Th 2.9768 -0.0171 8.9497
```

---

Computed, not measured: a relaxed Tb2Sm5ErTh crystal at the PBE-GGA level of DFT.

Cell and atoms, written as extended XYZ:
```
18
Lattice="2.8176 -10.2103 0.0000 2.8176 10.2103 0.0000 0.0000 0.0000 10.5447" Properties=species:S:1:pos:R:3 pbc="T T T"
Tb 2.8176 7.9057 5.2724
Tb 2.8176 7.8668 0.8045
Tb 2.8176 -7.8668 6.0769
Tb 2.8176 -7.9057 0.0000
Sm 2.8176 9.9178 8.2517
Sm 2.8176 4.5755 0.8113
Sm 2.8176 4.1946 4.9451
Sm 2.8176 2.3225 8.3213
Sm 2.8176 0.3835 5.3567
Sm 2.8176 -0.3835 0.0843
Sm 2.8176 -2.3225 3.0490
Sm 2.8176 -4.1946 10.2174
Sm 2.8176 -4.5755 6.0836
Sm 2.8176 -9.9178 2.9793
Er 2.8176 1.9238 2.3434
Er 2.8176 -1.9238 7.6158
Th 2.8176 6.1561 8.1833
Th 2.8176 -6.1561 2.9109
```

---

Computed, not measured: a relaxed Tb2SmEr5Th crystal at the PBE-GGA level of DFT.

Cell and atoms, written as extended XYZ:
```
18
Lattice="-4.3639 4.3639 7.4957 4.3639 -4.3639 7.4957 4.3639 4.3639 -7.4957" Properties=species:S:1:pos:R:3 pbc="T T T"
Tb 5.3643 1.0004 0.0000
Tb 1.0004 3.3635 0.0000
Tb 3.3635 1.0004 7.4957
Tb -1.0004 3.3635 7.4957
Sm 4.3639 0.0000 3.7478
Sm 0.0000 4.3639 3.7478
Er 0.0000 0.0000 0.0000
Er 2.5368 1.8271 -2.0446
Er 2.5368 -1.8271 5.4511
Er 2.5368 1.8271 2.0446
Er 2.5368 -1.8271 9.5402
Er 0.0000 0.0000 7.4957
Er 1.8271 6.1910 -2.0446
Er 1.8271 2.5368 5.4511
Er 1.8271 6.1910 2.0446
Er 1.8271 2.5368 9.5402
Th 0.0000 0.0000 3.7478
Th 0.0000 0.0000 11.2435
```

---

Computed, not measured: a relaxed TbSm5Er2Th crystal at the PBE-GGA level of DFT.

Cell and atoms, written as extended XYZ:
```
18
Lattice="2.8179 -10.1588 0.0000 2.8179 10.1588 0.0000 0.0000 0.0000 10.5392" Properties=species:S:1:pos:R:3 pbc="T T T"
Tb 2.8179 8.2883 5.2696
Tb 2.8179 -8.2883 0.0000
Sm 2.8179 9.7339 8.3196
Sm 2.8179 7.8896 0.7711
Sm 2.8179 5.9832 7.9176
Sm 2.8179 5.6270 3.7834
Sm 2.8179 0.3058 0.7084
Sm 2.8179 -0.3058 5.9780
Sm 2.8179 -5.6270 9.0530
Sm 2.8179 -5.9832 2.6480
Sm 2.8179 -7.8896 6.0407
Sm 2.8179 -9.7339 3.0500
Er 2.8179 2.3436 3.8115
Er 2.8179 2.2794 8.2582
Er 2.8179 -2.2794 2.9886
Er 2.8179 -2.3436 9.0810
Th 2.8179 4.0447 0.6212
Th 2.8179 -4.0447 5.8908
```

---

Number 1: electronic total energy -4.9886 eV/atom, ρ 8.54 g cm⁻³. Number 2: electronic total energy -4.8275 eV/atom, ρ 8.04 g cm⁻³. Number 3: electronic total energy -4.6029 eV/atom, ρ 8.94 g cm⁻³. Number 4: electronic total energy -4.8151 eV/atom, ρ 8.13 g cm⁻³.